Computed, not measured: a crystal of HoMg2Zn relaxed with PBEsol at the meta-GGA SCAN level of DFT.

**ΔE_f**: -0.223 eV/atom

Geometry as CIF:
```
data_HoMg2Zn
_chemical_formula_sum 'Ho4 Mg8 Zn4'
_cell_length_a 4.0723
_cell_length_b 10.5865
_cell_length_c 8.1326
_cell_angle_alpha 90.00
_cell_angle_beta 90.00
_cell_angle_gamma 90.00
_space_group_name_H-M_alt 'C m c m'
_space_group_IT_number 63
_space_group_name_Hall '-C 2c 2'
loop_
_atom_site_label
_atom_site_type_symbol
_atom_site_fract_x
_atom_site_fract_y
_atom_site_fract_z
Ho1 Ho 0.0000 0.0575 0.2500
Mg1 Mg 0.0000 0.3572 0.0536
Zn1 Zn 0.0000 0.2355 0.7500
```